(1)
CaLaSi (PBE-GGA, optimized geometry); calculated volume = 28.51 Å³ per atom; formation energy (no corrections) = -10.56 kcal/mol of atoms; crystal system = hexagonal; size of the total moment = 0.95 μB/f.u.; electronic total energy = -41.177 eV for the cell shown
1.0
-4.145 0.529 -1.792
1.999 -4.923 -6.077
-3.292 -3.019 6.724
Ca La Si
3 3 3
Direct
0.000 0.742 0.742 Ca
0.000 0.000 0.258 Ca
0.000 0.258 0.000 Ca
0.500 0.401 0.401 La
0.500 0.000 0.599 La
0.500 0.599 0.000 La
0.000 0.333 0.667 Si
0.000 0.667 0.333 Si
0.500 0.000 0.000 Si


(2)
CaLa2Si (PBE-GGA, optimized geometry); calculated volume = 33.61 Å³ per atom; formation energy (no corrections) = -1.80 kcal/mol of atoms; crystal system = tetragonal; size of the total moment = 0.00 μB/f.u.; electronic total energy = -35.184 eV for the cell shown
1.0
9.080 0.000 0.000
0.000 9.080 0.000
4.540 4.540 3.262
Ca Si La
2 2 4
Direct
0.000 0.000 0.000 Ca
0.750 0.250 0.500 Ca
0.500 0.500 0.000 Si
0.250 0.750 0.500 Si
0.565 0.125 0.250 La
0.185 0.625 0.250 La
0.375 0.435 0.750 La
0.875 0.815 0.750 La


(3)
CaLaSi (PBE-GGA, optimized geometry); calculated volume = 31.21 Å³ per atom; formation energy (no corrections) = 5.48 kcal/mol of atoms; crystal system = cubic; size of the total moment = 0.00 μB/f.u.; electronic total energy = -11.639 eV for the cell shown
1.0
-2.625 0.799 4.295
0.372 -3.301 3.866
2.443 1.339 4.268
Ca La Si
1 1 1
Direct
0.500 0.500 0.500 Ca
0.750 0.750 0.750 La
0.000 0.000 0.000 Si